Entry 1:
VASP calculation (PBE+U) on an optimized crystal structure of Dy2CrO6.

abc: 4.9204 4.9204 9.7585
angles: 90.00 90.00 90.00
Closest atoms and distances in Å follow each position.
Space group P4_2/mnm (No. 136)
Asymmetric unit:
Dy: 0.0000 0.0000 0.1708 [4 per cell]  6 O 2.23-2.33
Cr: 0.0000 0.0000 0.5000 [2 per cell]  6 O 1.84-1.87
O: 0.1830 0.1830 0.3596 [8 per cell]  1 Cr 1.87
O: 0.2350 0.2350 0.0000 [4 per cell]  1 Cr 1.84

Results
total magnetization = 0.0 Bohr magnetons per cell
density = 6.65 Mg/m³
VASP energy = -0.5479 Ry/atom

Entry 2:
VASP calculation (PBE+U) on an optimized crystal structure of DyCrO2.

abc: 3.5209 3.5209 18.4349
angles: 90.00 90.00 120.00
Closest atoms and distances in Å follow each position.
Space group R-3m (No. 166, hexagonal axes)
Asymmetric unit:
Dy: 0.0000 0.0000 0.0000 [3 per cell]  6 O 2.30
Cr: 0.0000 0.0000 0.5000 [3 per cell]  2 O 2.00
O: 0.0000 0.0000 0.3915 [6 per cell]  1 Cr 2.00

Results
total magnetization = 13.2 Bohr magnetons per cell
density = 6.20 Mg/m³
excess energy over the best structure of this formula in the dataset = 0 meV per atom

Entry 3:
VASP calculation (PBE+U) on an optimized crystal structure of Dy3CrO6.

abc: 8.9441 10.9063 5.4837
angles: 90.00 90.00 90.00
Closest atoms and distances in Å follow each position.
Space group Cmc2_1 (No. 36)
Asymmetric unit:
Dy: 0.0000 0.1035 0.0000 [4 per cell]  5 O 2.27-2.31
Dy: 0.2034 0.3838 0.0517 [8 per cell]  6 O 2.23-2.40
Cr: 0.0000 0.3530 0.5625 [4 per cell]  5 O 1.96-2.16
O: 0.0000 0.2774 0.2390 [4 per cell]  1 Cr 1.96
O: 0.0000 0.4867 0.8534 [4 per cell]  2 Cr 2.09-2.16
O: 0.1485 0.2545 0.7359 [8 per cell]  1 Cr 1.96
O: 0.1595 0.0129 0.2752 [8 per cell]  4 Dy 2.23-2.30

Results
total magnetization = 12.0 Bohr magnetons per cell
density = 7.89 Mg/m³
excess energy over the best structure of this formula in the dataset = 98 meV per atom

Entry 4:
VASP calculation (PBE+U) on an optimized crystal structure of Dy3CrO6.

abc: 9.4232 9.4232 10.7784
angles: 90.00 90.00 120.00
Closest atoms and distances in Å follow each position.
Space group R-3 (No. 148, hexagonal axes)
Asymmetric unit:
Dy: 0.0422 0.2672 0.2027 [18 per cell]  6 O 2.23-2.33
Cr: 0.0000 0.0000 0.0000 [3 per cell]  6 O 2.04
Cr: 0.0000 0.0000 0.5000 [3 per cell]  6 O 2.09
O: 0.0279 0.1840 0.8851 [18 per cell]  1 Cr 2.04, 2 Dy 2.27-2.28
O: 0.0284 0.2044 0.4035 [18 per cell]  1 Cr 2.09, 3 Dy 2.23-2.33

Results
total magnetization = 18.0 Bohr magnetons per cell
density = 7.64 Mg/m³
excess energy over the best structure of this formula in the dataset = 0 meV per atom

Entry 5:
VASP calculation (PBE+U) on an optimized crystal structure of Dy2Cr2O7.

abc: 10.0650 10.0650 10.0650
angles: 90.00 90.00 90.00
Closest atoms and distances in Å follow each position.
Space group Fd-3m (No. 227, origin choice 2)
Asymmetric unit:
Dy: 0.0000 0.0000 0.0000 [16 per cell]  2 O 2.18
Cr: 0.0000 0.0000 0.5000 [16 per cell]  6 O 1.95
O: 0.0800 0.3750 0.8750 [48 per cell]  2 Cr 1.95
O: 0.1250 0.1250 0.1250 [8 per cell]  4 Dy 2.18

Results
total magnetization = 32.0 Bohr magnetons per cell
density = 7.05 Mg/m³
VASP energy = -0.5776 Ry/atom

Entry 6:
VASP calculation (PBE+U) on an optimized crystal structure of DyCrO2.

abc: 6.1210 6.1210 11.7446
angles: 90.00 90.00 90.00
Closest atoms and distances in Å follow each position.
Space group I4_1/amd (No. 141, origin choice 2)
Asymmetric unit:
Dy: 0.0000 0.0000 0.0000 [8 per cell]  6 O 2.35-2.38
Cr: 0.0000 0.0000 0.5000 [8 per cell]  4 O 2.13
O: 0.0000 0.0271 0.2023 [16 per cell]  2 Cr 2.13, 2 Dy 2.35

Results
total magnetization = 26.7 Bohr magnetons per cell
density = 7.44 Mg/m³
excess energy over the best structure of this formula in the dataset = 302 meV per atom

Entry 7:
VASP calculation (PBE+U) on an optimized crystal structure of DyPaCrO6.

abc: 5.3571 5.3571 4.7936
angles: 90.00 90.00 120.00
Closest atoms and distances in Å follow each position.
Space group P312 (No. 149)
Asymmetric unit:
Dy: 0.0000 0.0000 0.0000 [1 per cell]  6 O 2.25
Pa: 0.6667 0.3333 0.5000 [1 per cell]  6 O 2.21
Cr: 0.3333 0.6667 0.0000 [1 per cell]  6 O 1.97
O: 0.0219 0.3734 0.2343 [6 per cell]  1 Cr 1.97

Results
total magnetization = 2.0 Bohr magnetons per cell
density = 7.55 Mg/m³
VASP energy = -0.6272 Ry/atom

Entry 8:
VASP calculation (PBE+U) on an optimized crystal structure of Dy2PaCrO8.

abc: 6.9908 7.1077 6.7087
angles: 90.00 90.00 90.00
Closest atoms and distances in Å follow each position.
Space group Cmmm (No. 65)
Asymmetric unit:
Dy: 0.0000 0.0000 0.2428 [4 per cell]  6 O 2.20-2.36
Pa: 0.0000 0.5000 0.5000 [2 per cell]  6 O 2.13-2.23
Cr: 0.0000 0.5000 0.0000 [2 per cell]  2 O 1.79
O: 0.0000 0.3179 0.2290 [8 per cell]  1 Cr 2.01, 1 Pa 2.23
O: 0.1951 0.0000 0.5000 [4 per cell]  1 Pa 2.13, 2 Dy 2.20
O: 0.2435 0.0000 0.0000 [4 per cell]  1 Cr 1.79

Results
total magnetization = 1.9 Bohr magnetons per cell
density = 7.33 Mg/m³
VASP energy = -0.6118 Ry/atom

Entry 9:
VASP calculation (PBE+U) on an optimized crystal structure of DyCr2PbO8.

abc: 5.7339 5.7339 7.1402
angles: 90.00 90.00 120.00
Closest atoms and distances in Å follow each position.
Space group P-3m1 (No. 164)
Asymmetric unit:
Dy: 0.0000 0.0000 0.0000 [1 per cell]  6 O 2.25
Cr: 0.3333 0.6667 0.2852 [2 per cell]  4 O 1.64-1.71
Pb: 0.0000 0.0000 0.5000 [1 per cell]  6 O 2.67
O: 0.1694 0.3388 0.2102 [6 per cell]  1 Cr 1.71
O: 0.3333 0.6667 0.5145 [2 per cell]  1 Cr 1.64

Results
total magnetization = 1.0 Bohr magnetons per cell
density = 4.91 Mg/m³
VASP energy = -0.5115 Ry/atom

Entry 10:
VASP calculation (PBE+U) on an optimized crystal structure of PmDyCr2O8.

abc: 7.3017 7.3017 6.3465
angles: 90.00 90.00 90.00
Closest atoms and distances in Å follow each position.
Space group I-4m2 (No. 119)
Asymmetric unit:
Pm: 0.0000 0.0000 0.0000 [2 per cell]  8 O 2.38-2.49
Dy: 0.0000 0.5000 0.7500 [2 per cell]  8 O 2.36-2.44
Cr: 0.0000 0.0000 0.5000 [2 per cell]  4 O 1.73
Cr: 0.0000 0.5000 0.2500 [2 per cell]  4 O 1.72
O: 0.0000 0.1850 0.6696 [8 per cell]  1 Cr 1.73
O: 0.0000 0.3200 0.0748 [8 per cell]  1 Cr 1.72

Results
total magnetization = 4.0 Bohr magnetons per cell
density = 5.30 Mg/m³
VASP energy = -0.5622 Ry/atom

Entry 11:
VASP calculation (PBE+U) on an optimized crystal structure of PrDyCr2O8.

abc: 7.3524 7.3524 6.3799
angles: 90.00 90.00 90.00
Closest atoms and distances in Å follow each position.
Space group I-4m2 (No. 119)
Asymmetric unit:
Pr: 0.0000 0.0000 0.0000 [2 per cell]  8 O 2.42-2.53
Dy: 0.0000 0.5000 0.7500 [2 per cell]  8 O 2.37-2.45
Cr: 0.0000 0.0000 0.5000 [2 per cell]  4 O 1.73
Cr: 0.0000 0.5000 0.2500 [2 per cell]  4 O 1.72
O: 0.0000 0.1856 0.6667 [8 per cell]  1 Cr 1.73
O: 0.0000 0.3221 0.0745 [8 per cell]  1 Cr 1.72

Results
total magnetization = 4.0 Bohr magnetons per cell
density = 5.16 Mg/m³
VASP energy = -0.5611 Ry/atom

Entry 12:
VASP calculation (PBE+U) on an optimized crystal structure of Dy2PuCrO8.

abc: 6.9261 7.2276 6.6656
angles: 90.00 90.00 90.00
Closest atoms and distances in Å follow each position.
Space group Cmmm (No. 65)
Asymmetric unit:
Dy: 0.0000 0.0000 0.2361 [4 per cell]  6 O 2.16-2.33
Pu: 0.0000 0.5000 0.5000 [2 per cell]  6 O 1.98-2.06
Cr: 0.0000 0.5000 0.0000 [2 per cell]  6 O 1.98-2.15
O: 0.0000 0.3221 0.2594 [8 per cell]  1 Pu 2.06, 1 Cr 2.15
O: 0.2139 0.0000 0.0000 [4 per cell]  1 Cr 1.98, 2 Dy 2.16
O: 0.2138 0.0000 0.5000 [4 per cell]  1 Pu 1.98

Results
total magnetization = 8.0 Bohr magnetons per cell
density = 7.45 Mg/m³
VASP energy = -0.6300 Ry/atom